1.
Compound: K3DyF6
Source: Alexandria
Functional: PBEsol
Structure: relaxed Values from VASP.

Cell and atoms, written as Quantum ESPRESSO input:
```
&SYSTEM
  ibrav = 0, nat = 10, ntyp = 3
/
ATOMIC_SPECIES
K 39.10 K.upf
F 19.00 F.upf
Dy 162.50 Dy.upf
ATOMIC_POSITIONS crystal
K 0.500 0.500 0.500
K 0.250 0.250 0.250
K 0.750 0.750 0.750
F 0.232 0.768 0.232
F 0.232 0.232 0.768
F 0.768 0.768 0.232
F 0.232 0.768 0.768
F 0.768 0.232 0.768
F 0.768 0.232 0.232
Dy 0.000 0.000 0.000
CELL_PARAMETERS angstrom
-4.050 5.115 -0.257
-4.206 0.588 -4.960
-6.393 -0.844 1.024
```

Symmetry: Fm-3m (225)

=====

2.
Compound: DyMoO4F
Source: Alexandria
Functional: PBEsol
Structure: relaxed Values from VASP.

Cell and atoms, written as Quantum ESPRESSO input:
```
&SYSTEM
  ibrav = 0, nat = 28, ntyp = 4
/
ATOMIC_SPECIES
Dy 162.50 Dy.upf
Mo 95.94 Mo.upf
O 16.00 O.upf
F 19.00 F.upf
ATOMIC_POSITIONS crystal
Dy 0.660 0.300 0.551
Dy 0.160 0.800 0.949
Dy 0.840 0.200 0.051
Dy 0.340 0.700 0.449
Mo 0.050 0.132 0.358
Mo 0.450 0.368 0.858
Mo 0.950 0.868 0.642
Mo 0.550 0.632 0.142
O 0.165 0.162 0.931
O 0.512 0.706 0.277
O 0.772 0.463 0.935
O 0.143 0.907 0.347
O 0.665 0.662 0.569
O 0.357 0.593 0.847
O 0.988 0.794 0.777
O 0.643 0.407 0.153
O 0.835 0.838 0.069
O 0.335 0.338 0.431
O 0.012 0.206 0.223
O 0.728 0.037 0.435
O 0.228 0.537 0.065
O 0.272 0.963 0.565
O 0.488 0.294 0.723
O 0.857 0.093 0.653
F 0.421 0.958 0.099
F 0.079 0.542 0.599
F 0.921 0.458 0.401
F 0.579 0.042 0.901
CELL_PARAMETERS angstrom
5.180 0.025 0.000
-2.548 6.050 0.000
0.000 0.000 12.233
```

Symmetry: P2_1/c (14)

=====

3.
Compound: DyOF
Source: Alexandria
Functional: PBEsol
Structure: relaxed Values from VASP.

Cell and atoms, written as Quantum ESPRESSO input:
```
&SYSTEM
  ibrav = 0, nat = 6, ntyp = 3
/
ATOMIC_SPECIES
Dy 162.50 Dy.upf
O 16.00 O.upf
F 19.00 F.upf
ATOMIC_POSITIONS crystal
Dy 0.259 0.259 0.224
Dy 0.741 0.741 0.776
O 0.378 0.378 0.865
O 0.622 0.622 0.135
F 0.870 0.870 0.390
F 0.130 0.130 0.610
CELL_PARAMETERS angstrom
3.769 0.000 0.000
1.884 3.264 0.000
1.884 1.088 6.256
```

Symmetry: R-3m (166)

=====

4.
Compound: Dy3SOF5
Source: Alexandria
Functional: PBEsol
Structure: relaxed Values from VASP.

Cell and atoms, written as Quantum ESPRESSO input:
```
&SYSTEM
  ibrav = 0, nat = 20, ntyp = 4
/
ATOMIC_SPECIES
Dy 162.50 Dy.upf
S 32.06 S.upf
O 16.00 O.upf
F 19.00 F.upf
ATOMIC_POSITIONS crystal
Dy 0.000 0.416 0.133
Dy 0.000 0.868 0.272
Dy 0.000 0.701 0.585
Dy 0.500 0.596 0.896
Dy 0.500 0.122 0.714
Dy 0.500 0.296 0.403
S 0.000 0.330 0.667
S 0.500 0.673 0.338
O 0.000 0.436 0.387
O 0.000 0.616 0.052
F 0.000 0.157 0.880
F 0.000 0.113 0.273
F 0.000 0.727 0.839
F 0.500 0.856 0.118
F 0.500 0.879 0.717
F 0.500 0.270 0.148
F 0.000 0.953 0.566
F 0.500 0.569 0.626
F 0.500 0.377 0.952
F 0.500 0.045 0.433
CELL_PARAMETERS angstrom
-0.995 3.441 -0.499
-8.584 -2.771 -1.996
2.259 1.929 8.801
```

Symmetry: Pm (6)

=====

5.
Compound: Dy3Se4O12F
Source: Alexandria
Functional: PBEsol
Structure: relaxed Values from VASP.

Cell and atoms, written as Quantum ESPRESSO input:
```
&SYSTEM
  ibrav = 0, nat = 40, ntyp = 4
/
ATOMIC_SPECIES
Dy 162.50 Dy.upf
Se 78.96 Se.upf
O 16.00 O.upf
F 19.00 F.upf
ATOMIC_POSITIONS crystal
Dy 0.184 0.077 0.538
Dy 0.184 0.462 0.923
Dy 0.684 0.538 0.462
Dy 0.184 0.462 0.538
Dy 0.684 0.923 0.462
Dy 0.684 0.538 0.077
Se 0.414 0.155 0.310
Se 0.414 0.155 0.845
Se 0.914 0.310 0.155
Se 0.914 0.845 0.155
Se 0.744 0.333 0.667
Se 0.914 0.845 0.690
Se 0.244 0.667 0.333
Se 0.414 0.690 0.845
O 0.988 0.919 0.583
O 0.172 0.632 0.816
O 0.672 0.816 0.184
O 0.988 0.919 0.337
O 0.488 0.081 0.417
O 0.988 0.417 0.337
O 0.672 0.368 0.184
O 0.488 0.583 0.919
O 0.861 0.419 0.581
O 0.988 0.663 0.583
O 0.361 0.839 0.419
O 0.861 0.161 0.581
O 0.488 0.583 0.663
O 0.361 0.581 0.419
O 0.361 0.581 0.161
O 0.488 0.337 0.417
O 0.172 0.184 0.368
O 0.988 0.417 0.081
O 0.172 0.184 0.816
O 0.488 0.081 0.663
O 0.988 0.663 0.081
O 0.672 0.816 0.632
O 0.488 0.337 0.919
O 0.861 0.419 0.839
F 0.733 0.667 0.333
F 0.233 0.333 0.667
CELL_PARAMETERS angstrom
-4.277 -0.482 -5.196
7.973 -1.211 -6.451
-4.395 -8.254 4.384
```

Symmetry: P6_3mc (186)

=====

6.
Compound: Dy2SeOF2
Source: Alexandria
Functional: PBEsol
Structure: relaxed Values from VASP.

Cell and atoms, written as Quantum ESPRESSO input:
```
&SYSTEM
  ibrav = 0, nat = 36, ntyp = 4
/
ATOMIC_SPECIES
Dy 162.50 Dy.upf
Se 78.96 Se.upf
O 16.00 O.upf
F 19.00 F.upf
ATOMIC_POSITIONS crystal
Dy 0.750 0.117 0.603
Dy 0.750 0.397 0.514
Dy 0.750 0.486 0.883
Dy 0.250 0.883 0.397
Dy 0.250 0.603 0.486
Dy 0.250 0.514 0.117
Dy 0.750 0.234 0.944
Dy 0.750 0.056 0.289
Dy 0.750 0.711 0.766
Dy 0.250 0.766 0.056
Dy 0.250 0.944 0.711
Dy 0.250 0.289 0.234
Se 0.750 0.488 0.281
Se 0.750 0.719 0.207
Se 0.750 0.793 0.512
Se 0.250 0.512 0.719
Se 0.250 0.281 0.793
Se 0.250 0.207 0.488
O 0.750 0.427 0.014
O 0.750 0.986 0.412
O 0.750 0.588 0.573
O 0.250 0.573 0.986
O 0.250 0.014 0.588
O 0.250 0.412 0.427
F 0.750 0.207 0.106
F 0.750 0.894 0.101
F 0.750 0.899 0.793
F 0.250 0.793 0.894
F 0.250 0.106 0.899
F 0.250 0.101 0.207
F 0.750 0.067 0.752
F 0.750 0.248 0.315
F 0.750 0.685 0.933
F 0.250 0.933 0.248
F 0.250 0.752 0.685
F 0.250 0.315 0.067
CELL_PARAMETERS angstrom
3.688 0.000 0.000
0.000 13.209 0.000
0.000 -6.604 11.439
```

Symmetry: P6_3/m (176)

=====

What did we get for total energy? Answer: -5.268 -8.544 -8.012 -7.228 -6.834 -7.288 eV per atom, in the order shown.